A relaxed TaTlZn crystal, computed with PBE.

The structure in POSCAR format:
```
TaTlZn
1.0
0.000 3.254 3.254
3.254 0.000 3.254
3.254 3.254 0.000
Ta Tl Zn
1 1 1
Direct
0.000 0.000 0.000
0.750 0.750 0.750
0.250 0.250 0.250
```

Values from the calculation:
Total moment in Bohr magnetons per cell: 0.00
Offset from the most stable computed form in meV/atom: 0
SG: F-43m, No. 216